The following is a DFT calculation (PBE) of a relaxed SrZnMo2 crystal.

Cell lengths 6.1678, 6.1678, 6.1678 Å; angles 154.03, 130.63, 56.61 degrees
Sites, in units of the cell vectors:
Mo  0.0288  0.0288  0.0000
Mo  0.4712  0.4712  0.0000
Sr  0.7500  0.2500  0.5000
Zn  0.2500  0.7500  0.5000

Properties
formation energy from the elements: 0.736 eV/atom

The following is a DFT calculation (PBE) of a relaxed NaTeCl4 crystal.

Cell lengths 6.2131, 7.2631, 10.4313 Å; angles 110.37, 121.03, 90.00 degrees
Sites, in units of the cell vectors:
Na  0.3178  0.1431  0.2862
Na  0.6822  0.8569  0.7138
Te  0.5889  0.4372  0.8745
Te  0.4111  0.5628  0.1255
Cl  0.6424  0.3047  0.6093
Cl  0.7095  0.3797  0.2601
Cl  0.0000  0.2352  0.0000
Cl  0.2905  0.1196  0.7399
Cl  0.3576  0.6953  0.3907
Cl  0.2905  0.6203  0.7399
Cl  0.0000  0.7648  0.0000
Cl  0.7095  0.8804  0.2601

Properties
uncorrected formation energy: -875 meV/atom
E above lowest polymorph: 23 kJ/mol of formula units